Tb6In2Te | PBE-GGA | optimized geometry

## Properties
ρ	8303	kg/m³
VASP energy	-4.5430	eV/atom
M_tot	1.5	μB per cell

Unit cell a=3.9496 b=8.7557 c=8.7537 alpha=120.01 beta=90.00 gamma=90.00
Site moments in Bohr magnetons follow the coordinates.
Atoms (fractional coordinates):
Tb  0.0000  0.2764  0.0000  0.14
Tb  0.5000  0.6095  0.0000  0.17
Tb  0.5000  0.0000  0.6096  0.17
Tb  0.5000  0.3904  0.3904  0.17
Tb  0.0000  0.7239  0.7241  0.14
Tb  0.0000  0.9997  0.2759  0.14
Te  0.5000  0.0004  0.0000  0.00
In  0.0000  0.6667  0.3336  0.01
In  0.0000  0.3331  0.6664  0.01

=====

CuTePbI2 | PBE-GGA | optimized geometry

## Properties
ρ	4434	kg/m³
VASP energy	-2.2538	eV/atom
M_tot	0.7	μB per cell

Unit cell a=6.2440 b=6.2440 c=6.2642 alpha=90.00 beta=90.00 gamma=90.00
Site moments in Bohr magnetons follow the coordinates.
Atoms (fractional coordinates):
I  0.0000  0.5000  0.0000  0.05
I  0.5000  0.0000  0.0000  0.05
Cu  0.5000  0.5000  0.5000  -0.02
Te  0.0000  0.0000  0.5000  0.32
Pb  0.0000  0.0000  0.0000  0.00

=====

TbY2HoTe5 | PBE-GGA | optimized geometry

## Properties
ρ	5291	kg/m³
VASP energy	-4.8583	eV/atom
M_tot	0.7	μB per cell

Unit cell a=5.5695 b=5.5695 c=11.5298 alpha=90.00 beta=90.00 gamma=90.00
Site moments in Bohr magnetons follow the coordinates.
Atoms (fractional coordinates):
Y  0.5000  0.5000  0.6506  0.19
Y  0.5000  0.5000  0.3494  0.19
Te  0.0000  0.0000  0.2449  0.00
Te  0.5000  0.5000  0.0000  0.01
Te  0.0000  0.5000  0.5000  0.00
Te  0.0000  0.0000  0.7551  0.00
Te  0.5000  0.0000  0.5000  0.00
Ho  0.0000  0.0000  0.0000  0.01
Tb  0.0000  0.0000  0.5000  0.02

=====

CsIrRh2 | PBE-GGA | optimized geometry

## Properties
ρ	7411	kg/m³
VASP energy	-5.2018	eV/atom
M_tot	0.0	μB per cell

Unit cell a=5.5060 b=5.5060 c=8.7612 alpha=71.69 beta=71.69 gamma=90.00
Atoms (fractional coordinates):
Cs  0.2500  0.7500  0.5000
Cs  0.5000  0.5000  0.0000
Ir  0.7500  0.2500  0.5000
Ir  0.0000  0.0000  0.0000
Rh  0.9195  0.1250  0.2500
Rh  0.3750  0.0805  0.7500
Rh  0.8305  0.6250  0.2500
Rh  0.8750  0.1695  0.7500

=====

TiGa2C | PBE-GGA | optimized geometry

## Properties
ρ	5964	kg/m³
VASP energy	-5.5164	eV/atom
M_tot	0.0	μB per cell

Unit cell a=7.0578 b=7.0578 c=5.4654 alpha=49.78 beta=49.78 gamma=90.00
Atoms (fractional coordinates):
Ga  0.5360  0.1250  0.2500
Ga  0.2140  0.6250  0.2500
Ga  0.8750  0.7860  0.7500
Ga  0.3750  0.4640  0.7500
C  0.2500  0.7500  0.5000
C  0.5000  0.5000  0.0000
Ti  0.0000  0.0000  0.0000
Ti  0.7500  0.2500  0.5000

=====

HfRuPb2Cl | PBE-GGA | optimized geometry

## Properties
ρ	7664	kg/m³
VASP energy	-5.0177	eV/atom
M_tot	0.0	μB per cell

Unit cell a=5.8353 b=4.6414 c=5.8353 alpha=90.00 beta=90.00 gamma=90.00
Atoms (fractional coordinates):
Hf  0.0000  0.0000  0.0000
Ru  0.0000  0.5000  0.0000
Pb  0.5000  0.0000  0.0000
Pb  0.0000  0.0000  0.5000
Cl  0.5000  0.5000  0.5000

=====

MnAlIn2 | PBE-GGA | optimized geometry

## Properties
ρ	6621	kg/m³
VASP energy	-4.3776	eV/atom
M_tot	3.3	μB per cell

Unit cell a=5.3100 b=5.3100 c=5.3100 alpha=133.21 beta=133.21 gamma=68.33
Site moments in Bohr magnetons follow the coordinates.
Atoms (fractional coordinates):
Al  0.7500  0.2500  0.5000  -0.03
In  0.5000  0.5000  0.0000  -0.06
In  0.0000  0.0000  0.0000  -0.06
Mn  0.2500  0.7500  0.5000  3.47

=====

Ac2Pr2I7 | PBE-GGA | optimized geometry

## Properties
ρ	4760	kg/m³
VASP energy	-3.6654	eV/atom
M_tot	0.3	μB per cell

Unit cell a=8.6441 b=8.3578 c=8.3578 alpha=110.03 beta=88.31 gamma=88.31
Atoms (fractional coordinates):
Pr  0.8441  0.2996  0.2996
Pr  0.1559  0.7004  0.7004
I  0.7148  0.3998  0.9995
I  0.2143  0.3646  0.3646
I  0.2852  0.6002  0.0005
I  0.2852  0.0005  0.6002
I  0.7857  0.6354  0.6354
I  0.7148  0.9995  0.3998
I  0.0000  0.0000  0.0000
Ac  0.5000  0.6452  0.3548
Ac  0.5000  0.3548  0.6452

=====

Q: Among the records above, which one has the highest ρ?
A: Tb6In2Te